[1]
Computed, not measured: a geometry-optimized HfAg3N structure at the PBE-GGA level of DFT.

Cell lengths 4.429, 4.429, 4.429 Å; angles 90.00, 90.00, 90.00 degrees
Sites, in units of the cell vectors:
N 0.000 0.000 0.000
Ag 0.000 0.500 0.000
Ag 0.000 0.000 0.500
Hf 0.500 0.500 0.500
Ag 0.500 0.000 0.000

Summary:
**Space group**: No. 221
**ΔE to the lowest computed polymorph**: 0.00 kJ/mol of atoms
**Energy relative to the elements, uncorrected**: 883.0 meV per atom
**Total DFT energy (no corrections)**: -22.4 eV for the cell shown


[2]
Computed, not measured: a geometry-optimized Tl2NiSe2 structure at the PBE-GGA level of DFT.

Cell lengths 4.229, 4.229, 8.058 Å; angles 105.21, 105.21, 90.00 degrees
Site moments in Bohr magnetons follow the coordinates.
Sites, in units of the cell vectors:
Tl 0.750 0.250 0.500  0.00
Se 0.582 0.582 0.165  0.08
Tl 0.250 0.750 0.500  0.00
Se 0.418 0.418 0.835  0.08
Ni 0.000 0.000 0.000  0.93

Summary:
**Space group**: No. 139
**Energy relative to the elements, uncorrected**: 544.9 meV per atom
**Total DFT energy (no corrections)**: -14.8 eV for the cell shown


- Which formula does entry 1 have?
  HfAg3N